(1)
The following is a DFT calculation (PBE) of a relaxed structure of ErAg3.

DOS(E_F) = 0.5054 states/eV/atom
Formation energy from the elements = -205 meV/atom
Crystal system = orthorhombic
Space group = Cmcm (63)
Spin magnetization = 0.00 μB/f.u.

Geometry as extended XYZ:
```
8
Lattice="4.939 0.000 0.000 0.000 6.183 0.000 0.000 -3.092 5.362" Properties=species:S:1:pos:R:3 pbc="T T T"
Ag 3.704 4.694 0.858
Ag 3.704 1.488 0.858
Ag 3.704 3.091 3.646
Ag 1.235 -1.603 4.504
Ag 1.235 1.603 4.504
Ag 1.235 0.000 1.716
Er 1.235 3.092 1.792
Er 3.704 0.000 3.570
```

***

(2)
The following is a DFT calculation (PBE) of a relaxed structure of ReRu2I.

DOS(E_F) = 0.8460 states/eV/atom
Formation energy (no corrections) = 1.050 eV/atom
Crystal system = tetragonal
ΔE to the lowest computed polymorph = 0.000 eV/atom
Space group = I-42d (122)
Spin magnetization = 0.00 μB/f.u.

Geometry as extended XYZ:
```
8
Lattice="-0.364 5.744 1.181 -1.161 -1.230 5.627 4.657 2.366 4.545" Properties=species:S:1:pos:R:3 pbc="T T T"
I -0.762 2.257 3.404
I 1.367 1.696 6.788
Re 0.000 0.000 0.000
Re 1.765 5.184 4.565
Ru 0.778 4.235 2.620
Ru 0.406 0.333 4.758
Ru 2.963 3.512 5.758
Ru 2.117 5.680 9.569
```

***

DOS(E_F) of number 2 (ReRu2I)? 0.8460 states/eV/atom

***

Number 2 is which compound? ReRu2I

***

Number 1 is which compound? ErAg3